No. 1
TaMoCl2: relaxed, PBE.

```
data_TaMoCl2
_cell_length_a 2.841
_cell_length_b 4.441
_cell_length_c 5.545
_cell_angle_alpha 90.00
_cell_angle_beta 90.00
_cell_angle_gamma 90.00
_symmetry_space_group_name_H-M 'P m m m'
_symmetry_Int_Tables_number 47
_symmetry_space_group_name_Hall '-P 2 2'
loop_
_atom_site_label
_atom_site_fract_x
_atom_site_fract_y
_atom_site_fract_z
_atom_site_occupancy
Ta1 0.000 0.000 0.000 1
Mo1 0.500 0.000 0.500 1
Cl1 0.000 0.500 0.500 1
Cl2 0.500 0.500 0.000 1
```

Properties
**Final energy**: -24.59 eV/f.u.
**Formation energy (no corrections)**: 0.446 eV per atom
**DOS(E_F)**: 0.8546 states/eV/atom
**Total magnetization**: 0.191 μB/atom
**Distance to the lowest polymorph of the same formula**: 923.0 meV/atom

No. 2
TaMo3Cl9: relaxed, PBE.

```
data_TaMo3Cl9
_cell_length_a 17.585
_cell_length_b 8.274
_cell_length_c 12.532
_cell_angle_alpha 90.00
_cell_angle_beta 117.90
_cell_angle_gamma 90.00
_symmetry_space_group_name_H-M 'C 1 c 1'
_symmetry_Int_Tables_number 9
_symmetry_space_group_name_Hall 'C -2yc'
loop_
_atom_site_label
_atom_site_fract_x
_atom_site_fract_y
_atom_site_fract_z
_atom_site_occupancy
Ta1 0.000 0.038 0.000 1
Mo1 0.109 0.244 0.202 1
Mo2 0.482 0.259 0.718 1
Mo3 0.498 0.458 0.211 1
Cl1 0.023 0.236 0.435 1
Cl2 0.100 0.130 0.921 1
Cl3 0.126 0.049 0.682 1
Cl4 0.141 0.484 0.712 1
Cl5 0.229 0.204 0.389 1
Cl6 0.376 0.425 0.012 1
Cl7 0.386 0.046 0.699 1
Cl8 0.390 0.414 0.278 1
Cl9 0.464 0.179 0.512 1
```

Properties
**Final energy**: -71.23 eV/f.u.
**Formation energy (no corrections)**: -0.789 eV per atom
**Total magnetization**: 0.000 μB/atom

No. 3
Ta2MoCl2: relaxed, PBE.

```
data_Ta2MoCl2
_cell_length_a 4.380
_cell_length_b 4.380
_cell_length_c 9.496
_cell_angle_alpha 90.00
_cell_angle_beta 90.00
_cell_angle_gamma 90.00
_symmetry_space_group_name_H-M 'I 4/m m m'
_symmetry_Int_Tables_number 139
_symmetry_space_group_name_Hall '-I 4 2'
loop_
_atom_site_label
_atom_site_fract_x
_atom_site_fract_y
_atom_site_fract_z
_atom_site_occupancy
Ta1 0.000 0.500 0.250 1
Mo1 0.000 0.000 0.000 1
Cl1 0.000 0.000 0.362 1
```

Properties
**Final energy**: -33.70 eV/f.u.
**Formation energy (no corrections)**: 0.906 eV per atom
**DOS(E_F)**: 0.8749 states/eV/atom
**Total magnetization**: 0.290 μB/atom
**Distance to the lowest polymorph of the same formula**: 179.0 meV/atom

What did the third record say?
Ta2MoCl2: relaxed, PBE.

```
data_Ta2MoCl2
_cell_length_a 4.380
_cell_length_b 4.380
_cell_length_c 9.496
_cell_angle_alpha 90.00
_cell_angle_beta 90.00
_cell_angle_gamma 90.00
_symmetry_space_group_name_H-M 'I 4/m m m'
_symmetry_Int_Tables_number 139
_symmetry_space_group_name_Hall '-I 4 2'
loop_
_atom_site_label
_atom_site_fract_x
_atom_site_fract_y
_atom_site_fract_z
_atom_site_occupancy
Ta1 0.000 0.500 0.250 1
Mo1 0.000 0.000 0.000 1
Cl1 0.000 0.000 0.362 1
```

Properties
**Final energy**: -33.70 eV/f.u.
**Formation energy (no corrections)**: 0.906 eV per atom
**DOS(E_F)**: 0.8749 states/eV/atom
**Total magnetization**: 0.290 μB/atom
**Distance to the lowest polymorph of the same formula**: 179.0 meV/atom

Question: The highest final energy belongs to which entry?
Answer: TaMoCl2

Question: Look up the total magnetization of the third one.
Answer: 0.290 μB/atom